1.
This record from Alexandria describes Sc2AlCd after structural relaxation. The functional is PBE.

Geometry as extended XYZ:
```
4
Lattice="-2.109 2.109 4.787 2.109 -2.109 4.787 2.109 2.109 -4.787" Properties=species:S:1:pos:R:3 pbc="T T T"
Sc 0.000 0.000 0.000
Sc 0.000 2.109 2.393
Al 2.109 0.000 2.393
Cd 0.000 0.000 4.787
```

The theoretical density is 4.473 Mg/m³. Its relative energy among the computed polymorphs is 167 meV per atom. Its space group is I-4m2, No. 119. The calculation puts the energy of formation at -0.205 eV per atom.

=====

2.
This record from Alexandria describes Sc2AlCd after structural relaxation. The functional is PBE.

Geometry as extended XYZ:
```
8
Lattice="-2.147 2.147 10.292 2.147 -2.147 10.292 2.147 2.147 -10.292" Properties=species:S:1:pos:R:3 pbc="T T T"
Sc 3.221 1.033 -2.573
Sc 1.033 1.074 2.573
Sc -1.074 1.115 7.719
Sc 1.115 1.074 12.864
Al 0.000 0.000 0.000
Al 0.000 2.147 5.146
Cd 2.147 0.000 5.146
Cd 0.000 0.000 10.292
```

The theoretical density is 4.012 Mg/m³. Its relative energy among the computed polymorphs is 620 meV per atom. Its space group is I-42d, No. 122. The calculation puts the energy of formation at 0.248 eV per atom.